Entry i
The following is a GGA-PBEsol calculation of a relaxed Mg2Pd2Au crystal, from the Alexandria database.

Structure (CIF):
```
data_Mg2Pd2Au
_chemical_formula_sum 'Mg4 Pd4 Au2'
_space_group_name_H-M_alt 'P 1'
_space_group_IT_number 1
_cell_length_a 3.1421
_cell_length_b 7.2442
_cell_length_c 7.2442
_cell_angle_alpha 90.00
_cell_angle_beta 90.00
_cell_angle_gamma 90.00
loop_
_space_group_symop_operation_xyz
'x,y,z'
loop_
_atom_site_label
_atom_site_fract_x
_atom_site_fract_y
_atom_site_fract_z
_atom_site_occupancy
Mg1 0.5000 0.1658 0.6658 1
Mg2 0.5000 0.6658 0.8342 1
Mg3 0.5000 0.8342 0.3342 1
Mg4 0.5000 0.3342 0.1658 1
Au1 0.0000 0.0000 0.0000 1
Au2 0.0000 0.5000 0.5000 1
Pd1 0.0000 0.3664 0.8664 1
Pd2 0.0000 0.8664 0.6336 1
Pd3 0.0000 0.6336 0.1336 1
Pd4 0.0000 0.1336 0.3664 1
```


Entry ii
The following is a GGA-PBEsol calculation of a relaxed Mg2Pd2Au crystal, from the Alexandria database.

Structure (CIF):
```
data_Mg2Pd2Au
_chemical_formula_sum 'Mg2 Pd2 Au1'
_space_group_name_H-M_alt 'P 1'
_space_group_IT_number 1
_cell_length_a 3.6249
_cell_length_b 3.6249
_cell_length_c 7.3476
_cell_angle_alpha 104.28
_cell_angle_beta 104.28
_cell_angle_gamma 90.00
loop_
_space_group_symop_operation_xyz
'x,y,z'
loop_
_atom_site_label
_atom_site_fract_x
_atom_site_fract_y
_atom_site_fract_z
_atom_site_occupancy
Mg1 0.3949 0.3949 0.7898 1
Mg2 0.6051 0.6051 0.2102 1
Au1 0.0000 0.0000 0.0000 1
Pd1 0.2500 0.7500 0.5000 1
Pd2 0.7500 0.2500 0.5000 1
```


Which of them is least stable? Easy: entry ii.


Entry i
The following is a GGA-PBEsol calculation of a relaxed RbMgAu3 crystal, from the Alexandria database.

Structure (CIF):
```
data_RbMgAu3
_chemical_formula_sum 'Rb1 Mg1 Au3'
_space_group_name_H-M_alt 'P 1'
_space_group_IT_number 1
_cell_length_a 5.1272
_cell_length_b 5.1272
_cell_length_c 5.1272
_cell_angle_alpha 90.00
_cell_angle_beta 90.00
_cell_angle_gamma 90.00
loop_
_space_group_symop_operation_xyz
'x,y,z'
loop_
_atom_site_label
_atom_site_fract_x
_atom_site_fract_y
_atom_site_fract_z
_atom_site_occupancy
Mg1 0.0000 0.0000 0.0000 1
Au1 0.0000 0.5000 0.0000 1
Au2 0.0000 0.0000 0.5000 1
Au3 0.5000 0.0000 0.0000 1
Rb1 0.5000 0.5000 0.5000 1
```


Entry ii
The following is a GGA-PBEsol calculation of a relaxed RbMgAu3 crystal, from the Alexandria database.

Structure (CIF):
```
data_RbMgAu3
_chemical_formula_sum 'Rb1 Mg1 Au3'
_space_group_name_H-M_alt 'P 1'
_space_group_IT_number 1
_cell_length_a 5.5687
_cell_length_b 5.5687
_cell_length_c 5.5687
_cell_angle_alpha 90.00
_cell_angle_beta 90.00
_cell_angle_gamma 90.00
loop_
_space_group_symop_operation_xyz
'x,y,z'
loop_
_atom_site_label
_atom_site_fract_x
_atom_site_fract_y
_atom_site_fract_z
_atom_site_occupancy
Mg1 0.5000 0.5000 0.5000 1
Au1 0.0000 0.5000 0.0000 1
Au2 0.0000 0.0000 0.5000 1
Au3 0.5000 0.0000 0.0000 1
Rb1 0.0000 0.0000 0.0000 1
```


Which of them is least stable? Easy: entry ii.


Entry i
The following is a GGA-PBEsol calculation of a relaxed MgAu2Se crystal, from the Alexandria database.

Structure (CIF):
```
data_MgAu2Se
_chemical_formula_sum 'Mg1 Au2 Se1'
_space_group_name_H-M_alt 'P 1'
_space_group_IT_number 1
_cell_length_a 4.0454
_cell_length_b 4.0454
_cell_length_c 6.1295
_cell_angle_alpha 70.73
_cell_angle_beta 70.73
_cell_angle_gamma 60.00
loop_
_space_group_symop_operation_xyz
'x,y,z'
loop_
_atom_site_label
_atom_site_fract_x
_atom_site_fract_y
_atom_site_fract_z
_atom_site_occupancy
Au1 0.0022 0.0022 0.9934 1
Au2 0.7486 0.7486 0.7541 1
Mg1 0.5007 0.5007 0.4980 1
Se1 0.2485 0.2485 0.2546 1
```


Entry ii
The following is a GGA-PBEsol calculation of a relaxed MgAu2Se crystal, from the Alexandria database.

Structure (CIF):
```
data_MgAu2Se
_chemical_formula_sum 'Mg1 Au2 Se1'
_space_group_name_H-M_alt 'P 1'
_space_group_IT_number 1
_cell_length_a 3.8863
_cell_length_b 3.8863
_cell_length_c 5.5344
_cell_angle_alpha 110.56
_cell_angle_beta 110.56
_cell_angle_gamma 90.00
loop_
_space_group_symop_operation_xyz
'x,y,z'
loop_
_atom_site_label
_atom_site_fract_x
_atom_site_fract_y
_atom_site_fract_z
_atom_site_occupancy
Au1 0.7500 0.2500 0.5000 1
Au2 0.2500 0.7500 0.5000 1
Mg1 0.0000 0.0000 0.0000 1
Se1 0.5000 0.5000 0.0000 1
```


Which of them is least stable? Easy: entry i.


Entry i
The following is a GGA-PBEsol calculation of a relaxed MgTc2Au crystal, from the Alexandria database.

Structure (CIF):
```
data_MgTc2Au
_chemical_formula_sum 'Mg1 Tc2 Au1'
_space_group_name_H-M_alt 'P 1'
_space_group_IT_number 1
_cell_length_a 2.7094
_cell_length_b 5.0738
_cell_length_c 5.0738
_cell_angle_alpha 119.03
_cell_angle_beta 90.00
_cell_angle_gamma 90.00
loop_
_space_group_symop_operation_xyz
'x,y,z'
loop_
_atom_site_label
_atom_site_fract_x
_atom_site_fract_y
_atom_site_fract_z
_atom_site_occupancy
Au1 0.5000 0.0000 0.0000 1
Mg1 0.5000 0.5000 0.5000 1
Tc1 0.0000 0.5000 0.0000 1
Tc2 0.0000 0.0000 0.5000 1
```


Entry ii
The following is a GGA-PBEsol calculation of a relaxed MgTc2Au crystal, from the Alexandria database.

Structure (CIF):
```
data_MgTc2Au
_chemical_formula_sum 'Mg1 Tc2 Au1'
_space_group_name_H-M_alt 'P 1'
_space_group_IT_number 1
_cell_length_a 4.4138
_cell_length_b 4.4138
_cell_length_c 4.4138
_cell_angle_alpha 60.00
_cell_angle_beta 60.00
_cell_angle_gamma 60.00
loop_
_space_group_symop_operation_xyz
'x,y,z'
loop_
_atom_site_label
_atom_site_fract_x
_atom_site_fract_y
_atom_site_fract_z
_atom_site_occupancy
Au1 0.5000 0.5000 0.5000 1
Mg1 0.7500 0.7500 0.7500 1
Tc1 0.0000 0.0000 0.0000 1
Tc2 0.2500 0.2500 0.2500 1
```


Entry iii
The following is a GGA-PBEsol calculation of a relaxed MgTc2Au crystal, from the Alexandria database.

Structure (CIF):
```
data_MgTc2Au
_chemical_formula_sum 'Mg1 Tc2 Au1'
_space_group_name_H-M_alt 'P 1'
_space_group_IT_number 1
_cell_length_a 2.9392
_cell_length_b 2.9392
_cell_length_c 7.3028
_cell_angle_alpha 90.00
_cell_angle_beta 90.00
_cell_angle_gamma 90.00
loop_
_space_group_symop_operation_xyz
'x,y,z'
loop_
_atom_site_label
_atom_site_fract_x
_atom_site_fract_y
_atom_site_fract_z
_atom_site_occupancy
Au1 0.0000 0.0000 0.4995 1
Mg1 0.5000 0.5000 0.7560 1
Tc1 0.0000 0.0000 0.0271 1
Tc2 0.5000 0.5000 0.2174 1
```


Which of them is least stable? Easy: entry i.


Entry i
The following is a GGA-PBEsol calculation of a relaxed Mg2WAu crystal, from the Alexandria database.

Structure (CIF):
```
data_Mg2WAu
_chemical_formula_sum 'Mg2 W1 Au1'
_space_group_name_H-M_alt 'P 1'
_space_group_IT_number 1
_cell_length_a 4.0234
_cell_length_b 4.0234
_cell_length_c 5.0502
_cell_angle_alpha 113.47
_cell_angle_beta 113.47
_cell_angle_gamma 90.00
loop_
_space_group_symop_operation_xyz
'x,y,z'
loop_
_atom_site_label
_atom_site_fract_x
_atom_site_fract_y
_atom_site_fract_z
_atom_site_occupancy
Au1 0.2500 0.7500 0.5000 1
Mg1 0.0000 0.0000 0.0000 1
Mg2 0.7500 0.2500 0.5000 1
W1 0.5000 0.5000 0.0000 1
```


Entry ii
The following is a GGA-PBEsol calculation of a relaxed Mg2WAu crystal, from the Alexandria database.

Structure (CIF):
```
data_Mg2WAu
_chemical_formula_sum 'Mg2 W1 Au1'
_space_group_name_H-M_alt 'P 1'
_space_group_IT_number 1
_cell_length_a 4.6159
_cell_length_b 4.6159
_cell_length_c 4.6159
_cell_angle_alpha 60.00
_cell_angle_beta 60.00
_cell_angle_gamma 60.00
loop_
_space_group_symop_operation_xyz
'x,y,z'
loop_
_atom_site_label
_atom_site_fract_x
_atom_site_fract_y
_atom_site_fract_z
_atom_site_occupancy
Au1 0.5000 0.5000 0.5000 1
Mg1 0.0000 0.0000 0.0000 1
Mg2 0.7500 0.7500 0.7500 1
W1 0.2500 0.2500 0.2500 1
```


Which of them is least stable? Easy: entry ii.


Entry i
The following is a GGA-PBEsol calculation of a relaxed Mg2ZrAu crystal, from the Alexandria database.

Structure (CIF):
```
data_Mg2ZrAu
_chemical_formula_sum 'Mg2 Zr1 Au1'
_space_group_name_H-M_alt 'P 1'
_space_group_IT_number 1
_cell_length_a 3.9227
_cell_length_b 4.3437
_cell_length_c 4.5491
_cell_angle_alpha 90.00
_cell_angle_beta 90.00
_cell_angle_gamma 90.00
loop_
_space_group_symop_operation_xyz
'x,y,z'
loop_
_atom_site_label
_atom_site_fract_x
_atom_site_fract_y
_atom_site_fract_z
_atom_site_occupancy
Au1 0.0000 0.5000 0.5000 1
Mg1 0.0000 0.0000 0.0000 1
Mg2 0.5000 0.5000 0.0000 1
Zr1 0.5000 0.0000 0.5000 1
```


Entry ii
The following is a GGA-PBEsol calculation of a relaxed Mg2ZrAu crystal, from the Alexandria database.

Structure (CIF):
```
data_Mg2ZrAu
_chemical_formula_sum 'Mg2 Zr1 Au1'
_space_group_name_H-M_alt 'P 1'
_space_group_IT_number 1
_cell_length_a 2.9933
_cell_length_b 4.5072
_cell_length_c 6.0544
_cell_angle_alpha 90.00
_cell_angle_beta 104.34
_cell_angle_gamma 90.00
loop_
_space_group_symop_operation_xyz
'x,y,z'
loop_
_atom_site_label
_atom_site_fract_x
_atom_site_fract_y
_atom_site_fract_z
_atom_site_occupancy
Au1 0.6794 0.5000 0.7329 1
Mg1 0.8151 0.0000 0.0060 1
Mg2 0.4265 0.5000 0.2287 1
Zr1 0.0790 0.0000 0.5323 1
```


Which of them is least stable? Easy: entry ii.


Entry i
The following is a GGA-PBEsol calculation of a relaxed MnAuN2 crystal, from the Alexandria database.

Structure (CIF):
```
data_MnAuN2
_chemical_formula_sum 'Mn1 Au1 N2'
_space_group_name_H-M_alt 'P 1'
_space_group_IT_number 1
_cell_length_a 3.8749
_cell_length_b 3.8749
_cell_length_c 3.8749
_cell_angle_alpha 60.00
_cell_angle_beta 60.00
_cell_angle_gamma 60.00
loop_
_space_group_symop_operation_xyz
'x,y,z'
loop_
_atom_site_label
_atom_site_fract_x
_atom_site_fract_y
_atom_site_fract_z
_atom_site_occupancy
Mn1 0.0000 0.0000 0.0000 1
Au1 0.5000 0.5000 0.5000 1
N1 0.2500 0.2500 0.2500 1
N2 0.7500 0.7500 0.7500 1
```


Entry ii
The following is a GGA-PBEsol calculation of a relaxed MnAuN2 crystal, from the Alexandria database.

Structure (CIF):
```
data_MnAuN2
_chemical_formula_sum 'Mn1 Au1 N2'
_space_group_name_H-M_alt 'P 1'
_space_group_IT_number 1
_cell_length_a 3.1642
_cell_length_b 3.1642
_cell_length_c 6.1020
_cell_angle_alpha 74.97
_cell_angle_beta 74.97
_cell_angle_gamma 60.00
loop_
_space_group_symop_operation_xyz
'x,y,z'
loop_
_atom_site_label
_atom_site_fract_x
_atom_site_fract_y
_atom_site_fract_z
_atom_site_occupancy
Mn1 0.0000 0.0000 0.0000 1
Au1 0.5000 0.5000 0.5000 1
N1 0.8932 0.8932 0.3205 1
N2 0.1068 0.1068 0.6795 1
```


Which of them is least stable? Easy: entry i.


Entry i
The following is a GGA-PBEsol calculation of a relaxed MnAuSe2N crystal, from the Alexandria database.

Structure (CIF):
```
data_MnAuSe2N
_chemical_formula_sum 'Mn1 Au1 Se2 N1'
_space_group_name_H-M_alt 'P 1'
_space_group_IT_number 1
_cell_length_a 3.3918
_cell_length_b 4.8445
_cell_length_c 4.8445
_cell_angle_alpha 90.00
_cell_angle_beta 90.00
_cell_angle_gamma 90.00
loop_
_space_group_symop_operation_xyz
'x,y,z'
loop_
_atom_site_label
_atom_site_fract_x
_atom_site_fract_y
_atom_site_fract_z
_atom_site_occupancy
Mn1 0.0000 0.0000 0.0000 1
Au1 0.5000 0.5000 0.5000 1
Se1 0.0000 0.0000 0.5000 1
Se2 0.0000 0.5000 0.0000 1
N1 0.5000 0.0000 0.0000 1
```


Entry ii
The following is a GGA-PBEsol calculation of a relaxed MnAuSe2N crystal, from the Alexandria database.

Structure (CIF):
```
data_MnAuSe2N
_chemical_formula_sum 'Mn1 Au1 Se2 N1'
_space_group_name_H-M_alt 'P 1'
_space_group_IT_number 1
_cell_length_a 3.6996
_cell_length_b 5.2037
_cell_length_c 5.2037
_cell_angle_alpha 90.00
_cell_angle_beta 90.00
_cell_angle_gamma 90.00
loop_
_space_group_symop_operation_xyz
'x,y,z'
loop_
_atom_site_label
_atom_site_fract_x
_atom_site_fract_y
_atom_site_fract_z
_atom_site_occupancy
Mn1 0.5000 0.5000 0.5000 1
Au1 0.0000 0.0000 0.0000 1
Se1 0.0000 0.0000 0.5000 1
Se2 0.0000 0.5000 0.0000 1
N1 0.5000 0.0000 0.0000 1
```


Which of them is least stable? Easy: entry ii.